# PBE PmPa3, optimized geometry
data_PmPa3
_chemical_formula_sum 'Pm4 Pa12'
_space_group_name_H-M_alt 'F m -3 m'
_space_group_IT_number 225
_space_group_name_Hall '-F 4 2 3'
_cell_length_a 7.506
_cell_length_b 7.506
_cell_length_c 7.506
_cell_angle_alpha 90.00
_cell_angle_beta 90.00
_cell_angle_gamma 90.00
loop_
_atom_site_label
_atom_site_type_symbol
_atom_site_fract_x
_atom_site_fract_y
_atom_site_fract_z
Pm1 Pm 0.000 0.000 0.000
Pa1 Pa 0.000 0.000 0.500
Pa2 Pa 0.250 0.250 0.250
# V   422.9 Å³/cell
# Polymorph energy (0 for the lowest one)   207 meV per atom
# VASP energy   -7.89 eV per atom
# Spin magnetization   0.00 μB/f.u.
# Energy of formation from the pure elements   0.420 eV/atom

---

# PBE CaYRe2O8, optimized geometry
data_CaYRe2O8
_chemical_formula_sum 'Ca1 Y1 Re2 O8'
_space_group_name_H-M_alt 'P -3 m 1'
_space_group_IT_number 164
_space_group_name_Hall '-P 3 2"'
_cell_length_a 5.9434
_cell_length_b 5.9434
_cell_length_c 6.7602
_cell_angle_alpha 90.00
_cell_angle_beta 90.00
_cell_angle_gamma 120.00
loop_
_atom_site_label
_atom_site_type_symbol
_atom_site_fract_x
_atom_site_fract_y
_atom_site_fract_z
Ca1 Ca 0.0000 0.0000 0.0000
Y1 Y 0.0000 0.0000 0.5000
Re1 Re 0.3333 0.6667 0.8078
O1 O 0.1615 0.3231 0.7275
O2 O 0.3333 0.6667 0.0703
# V   206.8 Å³/cell
# VASP energy   -8.12 eV per atom
# E_form (uncorrected)   -24.405 eV/f.u.
# Spin magnetization   3.00 μB/f.u.

---

Question: Which of these has the lowest spin magnetization?
Answer: PmPa3

---

Question: Which of these has the lowest V?
Answer: CaYRe2O8